Record 1
## TiVCoMo (PBE)

Data for an optimized crystal structure of TiVCoMo.

Output
Its total energy is -35.65 eV for the cell shown. The formation energy comes out at -16.94 kJ per mole of atoms. Its energy above the most stable polymorph in this dataset is 2.46 kJ/mol of atoms.

a b c (Å): 3.0510 3.0510 5.9847
angles (deg): 90.00 90.00 90.00
With the nearest neighbours (Å) after each atom.
Space group P4mm (No. 99)
Unique sites:
Ti (0.0000, 0.0000, 0.0000) x1  4 Co 2.61, 4 Mo 2.70
V (0.0000, 0.0000, 0.4878) x1  4 Mo 2.59, 4 Co 2.60
Co (0.5000, 0.5000, 0.2442) x1  4 V 2.60, 4 Ti 2.61, 1 Mo 2.90
Mo (0.5000, 0.5000, 0.7285) x1  4 V 2.59, 4 Ti 2.70, 1 Co 2.90


Record 2
## YTiCo2Mo (PBE)

Data for an optimized crystal structure of YTiCo2Mo.

Output
Its total energy is -36.33 eV for the cell shown. The formation energy comes out at 59.33 kJ per mole of atoms.

a b c (Å): 4.5929 4.5929 4.5478
angles (deg): 90.00 90.00 90.00
With the nearest neighbours (Å) after each atom.
Space group P4/mmm (No. 123)
Unique sites:
Y (0.0000, 0.0000, 0.0000) x1  8 Co 3.23, 4 Ti 3.25
Ti (0.5000, 0.5000, 0.0000) x1  2 Mo 2.27
Co (0.0000, 0.5000, 0.5000) x2  2 Mo 2.30
Mo (0.5000, 0.5000, 0.5000) x1  2 Ti 2.27, 4 Co 2.30


Record 3
## Ti5Zn2Co2Mo (PBE)

Data for an optimized crystal structure of Ti5Zn2Co2Mo.

Output
Its total energy is -135.83 eV for the cell shown. The formation energy comes out at -8.19 kJ per mole of atoms.

a b c (Å): 9.9467 9.9467 3.1597
angles (deg): 90.00 90.00 90.00
With the nearest neighbours (Å) after each atom.
Space group P4/mbm (No. 127)
Unique sites:
Ti (0.0000, 0.5000, 0.0000) x2  4 Co 2.40
Ti (0.0736, 0.1995, 0.0000) x8  2 Co 2.39, 2 Mo 2.64
Zn (0.1718, 0.6718, 0.5000) x4  3 Co 2.81-3.02, 6 Ti 2.89-3.00
Co (0.1287, 0.3713, 0.5000) x4  6 Ti 2.39-2.40
Mo (0.0000, 0.0000, 0.5000) x2  8 Ti 2.64


Record 4
## TlCo2Mo (PBE)

Data for an optimized crystal structure of TlCo2Mo.

Output
Its total energy is -50.22 eV for the cell shown. The formation energy comes out at 55.42 kJ per mole of atoms. Its energy above the most stable polymorph in this dataset is 19.97 kJ/mol of atoms.

a b c (Å): 2.8553 4.4620 9.2977
angles (deg): 90.00 90.00 90.00
With the nearest neighbours (Å) after each atom.
Space group Imm2 (No. 44)
Unique sites:
Tl (0.0000, 0.0000, 0.0000) x2  6 Co 2.66-2.85, 2 Tl 2.86
Co (0.0000, 0.0000, 0.4785) x2  2 Co 2.44, 2 Mo 2.63, 4 Tl 2.66
Co (0.0000, 0.5000, 0.7653) x2  2 Co 2.44, 4 Mo 2.69
Mo (0.0000, 0.5000, 0.2161) x2  6 Co 2.63-2.69, 2 Mo 2.86


Record 5
## TlCoMo (PBE)

Data for an optimized crystal structure of TlCoMo.

Output
Its total energy is -38.18 eV for the cell shown. The formation energy comes out at 38.95 kJ per mole of atoms.

a b c (Å): 4.1695 3.8784 6.6241
angles (deg): 90.00 93.58 90.00
With the nearest neighbours (Å) after each atom.
Space group P2_1/m (No. 11)
Unique sites:
Tl (0.2477, 0.2500, 0.3659) x2  5 Co 2.77-3.08, 1 Mo 3.03
Co (0.2882, 0.2500, 0.7851) x2  4 Mo 2.40-2.66
Mo (0.2289, 0.7500, 0.9985) x2  4 Co 2.40-2.66


Record 6
## TlCoMo2 (PBE)

Data for an optimized crystal structure of TlCoMo2.

Output
Its total energy is -56.93 eV for the cell shown. The formation energy comes out at 64.44 kJ per mole of atoms. Its energy above the most stable polymorph in this dataset is 21.11 kJ/mol of atoms.

a b c (Å): 5.2884 8.9743 2.8108
angles (deg): 90.00 101.97 90.00
With the nearest neighbours (Å) after each atom.
Space group C2/m (No. 12)
Unique sites:
Tl (0.0000, 0.0000, 0.0000) x2  2 Co 2.64, 2 Tl 2.81, 4 Mo 2.83
Co (0.0000, 0.5000, 0.0000) x2  2 Tl 2.64, 2 Co 2.81, 4 Mo 2.83
Mo (0.2500, 0.2500, 0.5000) x4  4 Mo 2.64-2.81, 2 Tl 2.83, 2 Co 2.83


Record 7
## TlCoMo (PBE)

Data for an optimized crystal structure of TlCoMo.

Output
Its total energy is -75.88 eV for the cell shown. The formation energy comes out at 42.86 kJ per mole of atoms.

a b c (Å): 3.8323 3.8323 13.8535
angles (deg): 90.00 90.00 90.00
With the nearest neighbours (Å) after each atom.
Space group I4/mmm (No. 139)
Unique sites:
Tl (0.0000, 0.0000, 0.1753) x4  5 Co 2.75-2.79
Co (0.0000, 0.0000, 0.3741) x4  4 Mo 2.59, 5 Tl 2.75-2.79
Mo (0.0000, 0.5000, 0.0000) x4  4 Co 2.59, 4 Mo 2.71


Record 8
## TlCo2Mo (PBE)

Data for an optimized crystal structure of TlCo2Mo.

Output
Its total energy is -25.54 eV for the cell shown. The formation energy comes out at 45.00 kJ per mole of atoms. Its energy above the most stable polymorph in this dataset is 9.55 kJ/mol of atoms.

a b c (Å): 2.9486 2.9486 7.0136
angles (deg): 90.00 90.00 90.00
With the nearest neighbours (Å) after each atom.
Space group P4mm (No. 99)
Unique sites:
Tl (0.0000, 0.0000, 0.0000) x1  5 Co 2.89-3.20, 4 Tl 2.95, 4 Mo 3.08
Co (0.0000, 0.0000, 0.4556) x1  4 Co 2.40, 4 Mo 2.60
Co (0.5000, 0.5000, 0.2854) x1  4 Co 2.40
Mo (0.5000, 0.5000, 0.6773) x1  5 Co 2.60-2.75


Copy entry 2 word for word.
## YTiCo2Mo (PBE)

Data for an optimized crystal structure of YTiCo2Mo.

Output
Its total energy is -36.33 eV for the cell shown. The formation energy comes out at 59.33 kJ per mole of atoms.

a b c (Å): 4.5929 4.5929 4.5478
angles (deg): 90.00 90.00 90.00
With the nearest neighbours (Å) after each atom.
Space group P4/mmm (No. 123)
Unique sites:
Y (0.0000, 0.0000, 0.0000) x1  8 Co 3.23, 4 Ti 3.25
Ti (0.5000, 0.5000, 0.0000) x1  2 Mo 2.27
Co (0.0000, 0.5000, 0.5000) x2  2 Mo 2.30
Mo (0.5000, 0.5000, 0.5000) x1  2 Ti 2.27, 4 Co 2.30